The following is a DFT calculation (PBE) of an optimized crystal structure of LaPmNd2Tm.

Unit cell a=6.5437 b=8.5961 c=6.3412 alpha=95.68 beta=90.00 gamma=90.00
Sites, in units of the cell vectors:
Nd1 0.6899 0.3138 0.7183
Nd2 0.3101 0.6862 0.2817
Nd3 0.6899 0.6862 0.7817
Nd4 0.3101 0.3138 0.2183
La1 0.0000 0.0000 0.0000
La2 0.0000 0.0000 0.5000
Tm1 0.1672 0.5000 0.7500
Tm2 0.8328 0.5000 0.2500
Pm1 0.5602 0.0000 0.2500
Pm2 0.4398 0.0000 0.7500

Calculated values
Crystal system: monoclinic
ΔE_f (eV/f.u.): 1.3
N(E_F) (states/eV/cell): 13.572